# InNiCl2 PBE optimized geometry
data_InNiCl2
_space_group_name_H-M_alt 'P 4/m m m'
_space_group_IT_number 123
_space_group_name_Hall '-P 4 2'
_cell_length_a 5.013
_cell_length_b 5.013
_cell_length_c 3.477
_cell_angle_alpha 90.00
_cell_angle_beta 90.00
_cell_angle_gamma 90.00
loop_
_atom_site_label
_atom_site_type_symbol
_atom_site_fract_x
_atom_site_fract_y
_atom_site_fract_z
In1 In 0.000 0.000 0.000
Ni1 Ni 0.500 0.500 0.000
Cl1 Cl 0.000 0.500 0.500
# Energy above the most stable polymorph in this dataset = 0.538 eV/atom
# Calculated volume = 87.4 Å³ per cell
# Formation energy from raw total energies = 0.07 eV per atom
# Total magnetic moment = 0.92 μB/f.u.

=====

# TiPb PBE optimized geometry
data_TiPb
_space_group_name_H-M_alt 'F -4 3 m'
_space_group_IT_number 216
_space_group_name_Hall 'F -4 2 3'
_cell_length_a 6.383
_cell_length_b 6.383
_cell_length_c 6.383
_cell_angle_alpha 90.00
_cell_angle_beta 90.00
_cell_angle_gamma 90.00
loop_
_atom_site_label
_atom_site_type_symbol
_atom_site_fract_x
_atom_site_fract_y
_atom_site_fract_z
Ti1 Ti 0.000 0.000 0.000
Pb1 Pb 0.250 0.250 0.750
# Formation energy = 90.4 kJ per mole of atoms
# Calculated volume = 260.0 Å³ per cell
# Total magnetic moment = 0.00 μB/f.u.

=====

# LaMoN3 PBE optimized geometry
data_LaMoN3
_space_group_name_H-M_alt 'P 1'
_space_group_IT_number 1
_cell_length_a 3.992
_cell_length_b 5.844
_cell_length_c 7.572
_cell_angle_alpha 71.74
_cell_angle_beta 89.88
_cell_angle_gamma 89.73
loop_
_space_group_symop_operation_xyz
'x,y,z'
loop_
_atom_site_label
_atom_site_type_symbol
_atom_site_fract_x
_atom_site_fract_y
_atom_site_fract_z
La1 La 0.000 0.000 0.000
La2 La 0.466 0.721 0.658
Mo1 Mo 0.511 0.606 0.236
Mo2 Mo 0.959 0.293 0.548
N1 N 0.453 0.746 0.970
N2 N 0.467 0.352 0.492
N3 N 0.492 0.891 0.281
N4 N 0.967 0.971 0.667
N5 N 0.971 0.409 0.745
N6 N 0.980 0.518 0.251
# Calculated volume = 167.7 Å³ per cell
# Formation energy from raw total energies = -0.77 eV per atom
# Total magnetic moment = 0.00 μB/f.u.

=====

# YInTc2 PBE optimized geometry
data_YInTc2
_space_group_name_H-M_alt 'P 4 m m'
_space_group_IT_number 99
_cell_length_a 3.109
_cell_length_b 3.109
_cell_length_c 8.118
_cell_angle_alpha 90.00
_cell_angle_beta 90.00
_cell_angle_gamma 90.00
loop_
_space_group_symop_operation_xyz
'x,y,z'
'-y,x,z'
'-x,-y,z'
'y,-x,z'
'-x,y,z'
'y,x,z'
'x,-y,z'
'-y,-x,z'
loop_
_atom_site_label
_atom_site_type_symbol
_atom_site_fract_x
_atom_site_fract_y
_atom_site_fract_z
Y1 Y 0.000 0.000 0.000
In1 In 0.500 0.500 0.319
Tc1 Tc 0.000 0.000 0.571
Tc2 Tc 0.500 0.500 0.736
# Formation energy = -9.1 kJ per mole of atoms
# Calculated volume = 78.5 Å³ per cell
# Total magnetic moment = 0.00 μB/f.u.

=====

# Pd6WAu PBE optimized geometry
data_Pd6WAu
_space_group_name_H-M_alt 'P 4/m m m'
_space_group_IT_number 123
_space_group_name_Hall '-P 4 2'
_cell_length_a 3.972
_cell_length_b 3.972
_cell_length_c 7.928
_cell_angle_alpha 90.00
_cell_angle_beta 90.00
_cell_angle_gamma 90.00
loop_
_atom_site_label
_atom_site_type_symbol
_atom_site_fract_x
_atom_site_fract_y
_atom_site_fract_z
Pd1 Pd 0.000 0.000 0.000
Pd2 Pd 0.000 0.000 0.500
Pd3 Pd 0.000 0.500 0.236
W1 W 0.500 0.500 0.000
Au1 Au 0.500 0.500 0.500
# Formation energy = -11.1 kJ per mole of atoms
# Calculated volume = 125.1 Å³ per cell
# Total magnetic moment = 0.00 μB/f.u.

=====

# GaP2N PBE optimized geometry
data_GaP2N
_space_group_name_H-M_alt 'F m -3 m'
_space_group_IT_number 225
_space_group_name_Hall '-F 4 2 3'
_cell_length_a 5.969
_cell_length_b 5.969
_cell_length_c 5.969
_cell_angle_alpha 90.00
_cell_angle_beta 90.00
_cell_angle_gamma 90.00
loop_
_atom_site_label
_atom_site_type_symbol
_atom_site_fract_x
_atom_site_fract_y
_atom_site_fract_z
Ga1 Ga 0.000 0.000 0.000
P1 P 0.250 0.250 0.250
N1 N 0.000 0.000 0.500
# Energy above the most stable polymorph in this dataset = 0.833 eV/atom
# Calculated volume = 212.7 Å³ per cell
# Formation energy from raw total energies = 1.34 eV per atom
# Total magnetic moment = 0.42 μB/f.u.